Computed, not measured: crystalline Pr6GePb2 at its relaxed geometry at the GGA-PBE level of DFT.

For the calculated formation energy, the calculation gives -4.55 eV per formula unit. The volume is 293 Å³/cell. As for the crystal system: hexagonal. As for the magnetization: 5.553 μB per cell.

a b c (Å): 8.6903 8.6903 4.4789
angles (deg): 90.00 90.00 120.00
Space group P-62m (No. 189)
Unique sites:
Pr (0.0000, 0.4009, 0.0000) [3 per cell]
Pr (0.0000, 0.7519, 0.5000) [3 per cell]
Ge (0.0000, 0.0000, 0.0000) [1 per cell]
Pb (0.3333, 0.6667, 0.5000) [2 per cell]